Entry from Alexandria: a relaxed structure of KSmGe2Cl8 (PBE-GGA).

Total moment = 0.000 μB/cell
Energy relative to the elements, uncorrected = -1705.9 kJ/mol of formula units
Uncorrected energy = -3.959 eV/atom

Unit cell a=6.374 b=6.879 c=9.006 alpha=86.97 beta=88.98 gamma=86.03
Fractional coordinates of all 12 atoms:
K 0.000 0.000 0.000
Sm 0.000 0.000 0.500
Ge 0.461 0.457 0.259
Ge 0.539 0.543 0.741
Cl 0.215 0.809 0.286
Cl 0.245 0.317 0.461
Cl 0.265 0.859 0.721
Cl 0.277 0.357 0.063
Cl 0.723 0.643 0.937
Cl 0.735 0.141 0.279
Cl 0.755 0.683 0.539
Cl 0.785 0.191 0.714